(1)
VASP calculation (PBE) on a relaxed TbNd6Er2 crystal.

- M_tot (μB per formula unit) = 0.0
- ΔE_f (meV/atom) = 111.9
- distance to the lowest polymorph of the same formula (meV/atom) = 55

a = 12.5979 Å, b = 14.9198 Å, c = 6.7400 Å
α = 90.00°, β = 104.69°, γ = 90.00°
With the nearest neighbours (Å) after each atom.
Space group C2/c (No. 15)
One atom of each set of equivalent atoms:
Tb 0.0000 0.1066 0.2500 [4 per cell]  10 Nd 3.51-3.78
Nd 0.0470 0.3147 0.0200 [8 per cell]  3 Er 3.40-3.66, 6 Nd 3.47-3.80, 1 Tb 3.59
Nd 0.1403 0.0992 0.8169 [8 per cell]  4 Nd 3.42-3.80, 2 Er 3.50-3.51, 3 Tb 3.51-3.78
Nd 0.2342 0.3097 0.6977 [8 per cell]  6 Nd 3.31-3.59, 2 Er 3.44-3.59, 1 Tb 3.51
Er 0.1401 0.4827 0.3615 [8 per cell]  7 Nd 3.40-3.66, 3 Er 3.41-3.47

(2)
VASP calculation (PBE) on a relaxed Tb7Nd2Er crystal.

- M_tot (μB per formula unit) = 0.0
- ΔE_f (meV/atom) = 154.9
- distance to the lowest polymorph of the same formula (meV/atom) = 102

a = 6.5439 Å, b = 28.9362 Å, c = 3.5083 Å
α = 90.00°, β = 90.00°, γ = 90.00°
With the nearest neighbours (Å) after each atom.
Space group Cmmm (No. 65)
One atom of each set of equivalent atoms:
Tb 0.0000 0.0000 0.0000 [2 per cell]  6 Tb 3.28-3.51
Tb 0.0000 0.3148 0.5000 [4 per cell]  6 Tb 3.48-3.51, 6 Nd 3.58-3.76
Tb 0.2454 0.4025 0.0000 [8 per cell]  7 Tb 3.21-3.51, 1 Nd 3.58
Nd 0.0000 0.2069 0.0000 [4 per cell]  2 Nd 3.51, 8 Tb 3.58-3.76
Er 0.0000 0.5000 0.5000 [2 per cell]  2 Er 3.51, 12 Tb 3.69-3.71

(3)
VASP calculation (PBE) on a relaxed TbNd3Er2 crystal.

- M_tot (μB per formula unit) = 0.0
- ΔE_f (meV/atom) = 585.7
- distance to the lowest polymorph of the same formula (meV/atom) = 490

a = 11.0932 Å, b = 12.2850 Å, c = 6.7883 Å
α = 90.00°, β = 90.00°, γ = 90.00°
With the nearest neighbours (Å) after each atom.
Space group Ibam (No. 72)
One atom of each set of equivalent atoms:
Tb 0.0000 0.0000 0.0000 [4 per cell]  4 Nd 3.35, 2 Tb 3.39, 2 Er 3.59
Nd 0.0000 0.2348 0.2500 [8 per cell]  3 Nd 3.26-3.39, 2 Tb 3.35, 4 Er 3.36-3.39
Nd 0.0000 0.5000 0.2500 [4 per cell]  4 Nd 3.26-3.39
Er 0.2430 0.3222 0.0000 [8 per cell]  4 Nd 3.36-3.39, 1 Tb 3.59

(4)
VASP calculation (PBE) on a relaxed Tb3Nd6Er crystal.

- M_tot (μB per formula unit) = 0.0
- ΔE_f (meV/atom) = 121.9
- distance to the lowest polymorph of the same formula (meV/atom) = 0

a = 9.8527 Å, b = 21.4458 Å, c = 6.4487 Å
α = 90.00°, β = 90.00°, γ = 90.00°
With the nearest neighbours (Å) after each atom.
Space group Cmc2_1 (No. 36)
One atom of each set of equivalent atoms:
Tb 0.0000 0.0792 0.0000 [4 per cell]  3 Nd 3.18-3.50, 2 Tb 3.48
Tb 0.1671 0.3745 0.4051 [8 per cell]  2 Tb 3.29-3.48, 5 Nd 3.31-3.63, 1 Er 3.54
Nd 0.0000 0.1994 0.7114 [4 per cell]  1 Tb 3.18, 1 Er 3.37, 2 Nd 3.55
Nd 0.0000 0.4836 0.7333 [4 per cell]  1 Er 3.30, 4 Nd 3.30-3.65, 4 Tb 3.56-3.63
Nd 0.1747 0.2192 0.2345 [8 per cell]  2 Tb 3.31-3.51, 3 Nd 3.44-3.65, 2 Er 3.69-3.70
Nd 0.1812 0.0608 0.4799 [8 per cell]  4 Tb 3.42-3.82, 4 Nd 3.57-3.77, 1 Er 3.78
Er 0.0000 0.3419 0.9313 [4 per cell]  4 Nd 3.30-3.69, 2 Tb 3.54

(5)
VASP calculation (PBE) on a relaxed TbNd5Er12 crystal.

- M_tot (μB per formula unit) = 0.0
- ΔE_f (meV/atom) = 93.2

a = 11.6863 Å, b = 17.1980 Å, c = 5.7223 Å
α = 90.00°, β = 90.00°, γ = 90.00°
With the nearest neighbours (Å) after each atom.
Space group C2/m (No. 12)
One atom of each set of equivalent atoms:
Tb 0.0000 0.0000 0.0000 [2 per cell]  10 Er 3.52-3.68, 4 Nd 3.73
Nd 0.0000 0.1392 0.5000 [4 per cell]  8 Er 3.32-3.63
Nd 0.0000 0.3589 0.0000 [4 per cell]  8 Er 3.36-3.62, 2 Nd 3.75
Nd 0.0000 0.5000 0.5000 [2 per cell]  10 Er 3.54-3.70, 4 Nd 3.75
Er 0.1559 0.3216 0.4995 [8 per cell]  5 Er 3.30-3.64, 4 Nd 3.45-3.63
Er 0.1569 0.1775 0.0005 [8 per cell]  5 Er 3.31-3.67, 3 Nd 3.46-3.62, 1 Tb 3.56
Er 0.1971 0.0000 0.4974 [4 per cell]  2 Er 3.11, 2 Nd 3.32
Er 0.1990 0.5000 0.0026 [4 per cell]  2 Er 3.11, 2 Nd 3.36

(6)
VASP calculation (PBE) on a relaxed TbNd3Er4 crystal.

- M_tot (μB per formula unit) = 0.0
- ΔE_f (meV/atom) = 137.0
- distance to the lowest polymorph of the same formula (meV/atom) = 114

a = 3.4690 Å, b = 11.6547 Å, c = 13.0337 Å
α = 90.00°, β = 90.00°, γ = 90.00°
With the nearest neighbours (Å) after each atom.
Space group Immm (No. 71)
One atom of each set of equivalent atoms:
Tb 0.0000 0.0000 0.0000 [2 per cell]  4 Er 3.36, 2 Tb 3.47, 4 Nd 3.62
Nd 0.0000 0.0000 0.5000 [2 per cell]  6 Nd 3.47-3.77, 8 Er 3.86
Nd 0.0000 0.5000 0.2566 [4 per cell]  6 Er 3.36-3.64, 2 Nd 3.47, 2 Tb 3.62
Er 0.0000 0.2458 0.1349 [8 per cell]  3 Nd 3.36-3.64, 1 Tb 3.36, 5 Er 3.47-3.52

(7)
VASP calculation (PBE) on a relaxed Tb9Nd2Er crystal.

- M_tot (μB per formula unit) = 0.0
- ΔE_f (meV/atom) = 64.5
- distance to the lowest polymorph of the same formula (meV/atom) = 44

a = 11.3075 Å, b = 11.3075 Å, c = 3.4966 Å
α = 90.00°, β = 90.00°, γ = 120.00°
With the nearest neighbours (Å) after each atom.
Space group P6/mmm (No. 191)
One atom of each set of equivalent atoms:
Tb 0.0000 0.5000 0.0000 [3 per cell]  2 Nd 3.26, 10 Tb 3.50-3.65
Tb 0.1726 0.3453 0.5000 [6 per cell]  8 Tb 3.38-3.65, 2 Nd 3.60
Nd 0.3333 0.6667 0.0000 [2 per cell]  9 Tb 3.26-3.60, 2 Nd 3.50
Er 0.0000 0.0000 0.0000 [1 per cell]  2 Er 3.50, 12 Tb 3.81

(8)
VASP calculation (PBE) on a relaxed Tb4Nd2Er5 crystal.

- M_tot (μB per formula unit) = 0.0
- ΔE_f (meV/atom) = 19.5
- distance to the lowest polymorph of the same formula (meV/atom) = 0

a = 3.5549 Å, b = 8.7129 Å, c = 11.7971 Å
α = 75.91°, β = 81.37°, γ = 89.99°
With the nearest neighbours (Å) after each atom.
Space group P-1 (No. 2)
One atom of each set of equivalent atoms:
Tb 0.0462 0.3607 0.4074 [2 per cell]  3 Er 3.52-3.54, 5 Tb 3.55-3.62, 4 Nd 3.59-3.60
Tb 0.3182 0.5462 0.8645 [2 per cell]  5 Er 3.53-3.58, 6 Tb 3.54-3.55, 1 Nd 3.57
Nd 0.4077 0.2699 0.6834 [2 per cell]  5 Er 3.55-3.57, 2 Nd 3.55, 5 Tb 3.57-3.60
Er 0.1365 0.0924 0.2263 [2 per cell]  3 Tb 3.52-3.54, 7 Er 3.53-3.57, 2 Nd 3.55
Er 0.2286 0.8197 0.0431 [2 per cell]  7 Er 3.53-3.57, 3 Tb 3.53-3.58, 2 Nd 3.57
Er 0.5000 0.0000 0.5000 [1 per cell]  4 Tb 3.54, 2 Nd 3.55, 6 Er 3.55-3.57

(9)
VASP calculation (PBE) on a relaxed TbNd4Er8 crystal.

- M_tot (μB per formula unit) = 1.8
- ΔE_f (meV/atom) = 521.6

a = 11.0063 Å, b = 11.0063 Å, c = 13.4573 Å
α = 90.00°, β = 90.00°, γ = 120.00°
With the nearest neighbours (Å) after each atom.
Space group R-3m (No. 166, hexagonal axes)
One atom of each set of equivalent atoms:
Tb 0.0000 0.0000 0.0000 [3 per cell]  8 Er 3.50, 6 Nd 3.89
Nd 0.0000 0.0000 0.5000 [3 per cell]  8 Er 3.23-3.24
Nd 0.0000 0.5000 0.5000 [9 per cell]  8 Er 3.41-3.42
Er 0.0000 0.0000 0.2598 [6 per cell]  4 Nd 3.23-3.42, 1 Tb 3.50
Er 0.0127 0.5064 0.2465 [18 per cell]  4 Nd 3.24-3.41, 1 Tb 3.50

(10)
VASP calculation (PBE) on a relaxed Tb4NdEr5 crystal.

- M_tot (μB per formula unit) = 0.0
- ΔE_f (meV/atom) = 302.0
- distance to the lowest polymorph of the same formula (meV/atom) = 241

a = 10.2018 Å, b = 10.2018 Å, c = 6.2484 Å
α = 90.00°, β = 90.00°, γ = 90.00°
With the nearest neighbours (Å) after each atom.
Space group I4 (No. 79)
One atom of each set of equivalent atoms:
Tb 0.0498 0.6502 0.0000 [8 per cell]  4 Er 3.22-3.51, 1 Tb 3.23
Nd 0.0000 0.0000 0.7685 [2 per cell]  1 Er 2.87
Er 0.0000 0.0000 0.2272 [2 per cell]  1 Nd 2.87
Er 0.1459 0.7672 0.4954 [8 per cell]  4 Tb 3.22-3.51, 1 Er 3.27, 1 Nd 3.28

(11)
VASP calculation (PBE) on a relaxed Tb2Nd2Er5 crystal.

- M_tot (μB per formula unit) = 0.0
- ΔE_f (meV/atom) = 232.9
- distance to the lowest polymorph of the same formula (meV/atom) = 19

a = 21.5395 Å, b = 3.4823 Å, c = 8.2084 Å
α = 90.00°, β = 99.88°, γ = 90.00°
With the nearest neighbours (Å) after each atom.
Space group C2/m (No. 12)
One atom of each set of equivalent atoms:
Tb 0.0465 0.0000 0.3549 [4 per cell]  5 Er 3.18-3.51, 3 Tb 3.36-3.48
Nd 0.1827 0.5000 0.1436 [4 per cell]  2 Nd 3.48, 4 Er 3.49-3.58
Er 0.0000 0.5000 0.0000 [2 per cell]  4 Er 3.27-3.48, 4 Tb 3.39
Er 0.0970 0.5000 0.7335 [4 per cell]  5 Er 3.27-3.48, 4 Tb 3.51-3.57, 1 Nd 3.55
Er 0.1905 0.0000 0.5281 [4 per cell]  1 Tb 3.18, 6 Er 3.20-3.48, 1 Nd 3.49

(12)
VASP calculation (PBE) on a relaxed Tb3Nd2Er crystal.

- M_tot (μB per formula unit) = 0.0
- ΔE_f (meV/atom) = 96.3
- distance to the lowest polymorph of the same formula (meV/atom) = 0

a = 17.1758 Å, b = 5.6650 Å, c = 9.9225 Å
α = 90.00°, β = 125.10°, γ = 90.00°
With the nearest neighbours (Å) after each atom.
Space group C2/m (No. 12)
One atom of each set of equivalent atoms:
Tb 0.0408 0.0000 0.2015 [4 per cell]  6 Tb 3.39-3.77, 2 Nd 3.46, 1 Er 3.62
Tb 0.1147 0.5000 0.0745 [4 per cell]  4 Tb 3.32-3.61, 3 Nd 3.44-3.45, 1 Er 3.61
Tb 0.2137 0.5000 0.4991 [4 per cell]  2 Tb 3.09, 1 Nd 3.13
Nd 0.0046 0.5000 0.6547 [4 per cell]  1 Nd 2.98, 1 Tb 3.13
Nd 0.2347 0.0000 0.0912 [4 per cell]  4 Tb 3.45-3.78, 3 Nd 3.56-3.66, 3 Er 3.69-3.81
Er 0.1297 0.0000 0.6322 [4 per cell]  5 Tb 3.60-3.75, 7 Nd 3.64-3.81, 1 Er 3.64

(13)
VASP calculation (PBE) on a relaxed Tb8Nd6Er crystal.

- M_tot (μB per formula unit) = 0.0
- ΔE_f (meV/atom) = 174.3

a = 9.4212 Å, b = 9.4212 Å, c = 6.5752 Å
α = 90.00°, β = 90.00°, γ = 120.00°
With the nearest neighbours (Å) after each atom.
Space group P-3 (No. 147)
One atom of each set of equivalent atoms:
Tb 0.0924 0.4368 0.1577 [6 per cell]  1 Tb 3.29, 4 Nd 3.29-3.56
Tb 0.3333 0.6667 0.6192 [2 per cell]  3 Nd 3.29
Nd 0.0330 0.2863 0.6653 [6 per cell]  5 Tb 3.29-3.56, 2 Nd 3.36, 1 Er 3.37
Er 0.0000 0.0000 0.0000 [1 per cell]  6 Nd 3.37

(14)
VASP calculation (PBE) on a relaxed Tb5Nd3Er4 crystal.

- M_tot (μB per formula unit) = 0.1
- ΔE_f (meV/atom) = 236.0
- distance to the lowest polymorph of the same formula (meV/atom) = 219

a = 16.0307 Å, b = 5.9229 Å, c = 9.2646 Å
α = 90.00°, β = 116.14°, γ = 90.00°
With the nearest neighbours (Å) after each atom.
Space group C2/m (No. 12)
One atom of each set of equivalent atoms:
Tb 0.0000 0.0000 0.0000 [2 per cell]  4 Nd 2.96-3.06
Tb 0.0745 0.5000 0.6975 [4 per cell]  2 Nd 3.24-3.50, 1 Tb 3.38, 2 Er 3.61
Tb 0.1726 0.5000 0.3882 [4 per cell]  4 Nd 3.20-3.47, 3 Er 3.43-3.54
Nd 0.0000 0.5000 0.0000 [2 per cell]  2 Tb 2.96
Nd 0.2080 0.0000 0.2289 [4 per cell]  3 Tb 3.06-3.24, 2 Er 3.28-3.39
Er 0.0814 0.0000 0.4413 [4 per cell]  2 Er 3.24-3.62, 1 Nd 3.39, 3 Tb 3.43-3.54
Er 0.2095 0.0000 0.8756 [4 per cell]  3 Nd 3.28-3.55, 2 Tb 3.61, 3 Er 3.62

(15)
VASP calculation (PBE) on a relaxed Tb4NdEr4 crystal.

- M_tot (μB per formula unit) = 0.0
- ΔE_f (meV/atom) = 204.4
- distance to the lowest polymorph of the same formula (meV/atom) = 185

a = 12.3471 Å, b = 14.5894 Å, c = 6.4923 Å
α = 90.00°, β = 90.00°, γ = 90.00°
With the nearest neighbours (Å) after each atom.
Space group Cmcm (No. 63)
One atom of each set of equivalent atoms:
Tb 0.1405 0.0000 0.0000 [8 per cell]  5 Tb 3.25-3.62, 4 Er 3.45-3.48
Tb 0.2417 0.3022 0.2500 [8 per cell]  1 Nd 3.29, 3 Er 3.37-3.57, 4 Tb 3.59-3.62
Nd 0.0000 0.3968 0.2500 [4 per cell]  4 Er 3.25-3.35, 2 Tb 3.29
Er 0.0000 0.2044 0.5041 [8 per cell]  2 Er 3.19-3.30, 1 Nd 3.25, 4 Tb 3.45-3.57
Er 0.1373 0.4048 0.7500 [8 per cell]  3 Nd 3.35-3.66, 3 Tb 3.37-3.48, 3 Er 3.39-3.74

(16)
VASP calculation (PBE) on a relaxed TbNd2Er12 crystal.

- M_tot (μB per formula unit) = 0.0
- ΔE_f (meV/atom) = 105.3

a = 7.1077 Å, b = 11.1547 Å, c = 24.0243 Å
α = 90.00°, β = 94.18°, γ = 90.00°
With the nearest neighbours (Å) after each atom.
Space group C2/m (No. 12)
One atom of each set of equivalent atoms:
Tb 0.2499 0.0000 0.0000 [4 per cell]  2 Tb 3.55, 12 Er 3.66-3.69
Nd 0.0694 0.0000 0.2792 [4 per cell]  5 Er 3.48-3.52, 2 Nd 3.54-3.57
Nd 0.0713 0.5000 0.2805 [4 per cell]  5 Er 3.48-3.52, 2 Nd 3.54-3.57
Er 0.0170 0.2509 0.0663 [8 per cell]  7 Er 3.18-3.55
Er 0.0327 0.0000 0.1340 [4 per cell]  8 Er 3.23-3.58, 1 Nd 3.48
Er 0.0333 0.5000 0.1352 [4 per cell]  8 Er 3.23-3.57, 1 Nd 3.48
Er 0.1117 0.2517 0.4449 [8 per cell]  10 Er 3.18-3.55
Er 0.1406 0.0000 0.5717 [4 per cell]  8 Er 3.32-3.66
Er 0.1436 0.5000 0.5702 [4 per cell]  8 Er 3.32-3.67
Er 0.1668 0.2506 0.6700 [8 per cell]  7 Er 3.28-3.67, 4 Nd 3.51-3.52
Er 0.2026 0.2500 0.8086 [8 per cell]  9 Er 3.32-3.58

(17)
VASP calculation (PBE) on a relaxed TbNd12Er2 crystal.

- M_tot (μB per formula unit) = 0.0
- ΔE_f (meV/atom) = 157.2

a = 7.2050 Å, b = 11.6373 Å, c = 24.9943 Å
α = 90.00°, β = 90.00°, γ = 90.00°
With the nearest neighbours (Å) after each atom.
Space group Cmme (No. 67)
One atom of each set of equivalent atoms:
Tb 0.0000 0.2500 0.0009 [4 per cell]  8 Nd 3.44-3.75, 2 Tb 3.60
Nd 0.0000 0.0019 0.9264 [8 per cell]  2 Tb 3.44-3.45, 9 Nd 3.60-3.72
Nd 0.0000 0.0238 0.4397 [8 per cell]  5 Nd 3.07-3.42
Nd 0.2310 0.2500 0.5861 [8 per cell]  7 Nd 3.33-3.68
Nd 0.2486 0.2500 0.1305 [8 per cell]  8 Nd 3.37-3.72, 2 Tb 3.70-3.75
Nd 0.2500 0.0000 0.1984 [8 per cell]  3 Nd 3.14-3.37
Nd 0.2500 0.0000 0.3240 [8 per cell]  3 Nd 3.14-3.42
Er 0.0000 0.2500 0.2701 [4 per cell]  2 Er 3.60, 10 Nd 3.68-3.92
Er 0.0000 0.2500 0.7335 [4 per cell]  2 Er 3.60, 10 Nd 3.71-3.85

(18)
VASP calculation (PBE) on a relaxed Tb2Nd6Er3 crystal.

- M_tot (μB per formula unit) = 0.0
- ΔE_f (meV/atom) = 298.2
- distance to the lowest polymorph of the same formula (meV/atom) = 282

a = 4.7593 Å, b = 4.7593 Å, c = 33.9966 Å
α = 90.00°, β = 90.00°, γ = 90.00°
With the nearest neighbours (Å) after each atom.
Space group I4/mmm (No. 139)
One atom of each set of equivalent atoms:
Tb 0.0000 0.0000 0.0450 [4 per cell]  1 Tb 3.06
Nd 0.0000 0.0000 0.2050 [4 per cell]  5 Er 3.38-3.42, 4 Nd 3.73
Nd 0.0000 0.5000 0.1205 [8 per cell]  6 Nd 3.37-3.73, 2 Er 3.46, 2 Tb 3.50
Er 0.0000 0.0000 0.3056 [4 per cell]  9 Nd 3.38-3.46
Er 0.0000 0.0000 0.5000 [2 per cell]  8 Tb 3.70